# 1
# BaZn2Re

A geometry-optimized BaZn2Re structure (PBE, the Alexandria database).

Lattice parameters (Å, degrees): 3.4965 3.4965 7.5023 90.00 90.00 90.00
Each line ends with the local moment (μB).
Element x y z (fractional)
Ba  0.0000  0.0000  0.5217  0.00
Re  0.5000  0.5000  0.8468  0.17
Zn  0.0000  0.0000  0.9500  0.00
Zn  0.5000  0.5000  0.1815  0.00

Properties
The final energy comes out at -3.668 eV per atom. The crystal system is tetragonal. Its space-group type is P4mm (99). For the total magnetization, the calculation gives 0.048 μB/atom. The value obtained for the calculated formation energy is 0.56 eV per atom. As for the energy above the most stable polymorph in this dataset: 100 meV/atom.

=====

# 2
# Tm2HgOs

A geometry-optimized Tm2HgOs structure (PBE, the Alexandria database).

Lattice parameters (Å, degrees): 3.4139 3.4139 7.5217 90.00 90.00 90.00
Element x y z (fractional)
Tm  0.0000  0.0000  0.7825
Tm  0.0000  0.0000  0.2175
Os  0.5000  0.5000  0.0000
Hg  0.5000  0.5000  0.5000

Properties
The final energy comes out at -5.559 eV per atom. The crystal system is tetragonal. Its space-group type is P4/mmm (123). For the total magnetization, the calculation gives 0.000 μB/atom. The value obtained for the calculated formation energy is -0.44 eV per atom. As for the energy above the most stable polymorph in this dataset: 0 meV/atom.

=====

# 3
# Zn4CuAu4

A geometry-optimized Zn4CuAu4 structure (PBE, the Alexandria database).

Lattice parameters (Å, degrees): 6.1363 6.1363 6.1363 99.39 114.77 114.70
Element x y z (fractional)
Zn  0.5380  0.9239  0.9239
Zn  0.0000  0.0761  0.6141
Zn  0.4620  0.3859  0.3859
Zn  0.0000  0.6141  0.0761
Cu  0.0000  0.0000  0.0000
Au  0.5000  0.5000  0.0000
Au  0.5000  0.0000  0.5000
Au  0.0000  0.6708  0.6708
Au  0.0000  0.3292  0.3292

Properties
The final energy comes out at -2.423 eV per atom. The crystal system is tetragonal. Its space-group type is I-42m (121). For the total magnetization, the calculation gives 0.000 μB/atom. The value obtained for the calculated formation energy is 0.06 eV per atom. As for the energy above the most stable polymorph in this dataset: 213 meV/atom.

=====

# 4
# ZrTl2Pt

A geometry-optimized ZrTl2Pt structure (PBE, the Alexandria database).

Lattice parameters (Å, degrees): 5.4345 5.4345 5.4345 132.41 132.41 69.58
Element x y z (fractional)
Pt  0.7500  0.2500  0.5000
Tl  0.0000  0.0000  0.0000
Tl  0.2500  0.7500  0.5000
Zr  0.5000  0.5000  0.0000

Properties
The final energy comes out at -4.928 eV per atom. The crystal system is tetragonal. Its space-group type is I-4m2 (119). For the total magnetization, the calculation gives 0.000 μB/atom. The value obtained for the calculated formation energy is -0.10 eV per atom. As for the energy above the most stable polymorph in this dataset: 182 meV/atom.

=====

# 5
# TiNbNi3

A geometry-optimized TiNbNi3 structure (PBE, the Alexandria database).

Lattice parameters (Å, degrees): 6.8648 6.8648 4.5500 90.00 90.00 139.27
Element x y z (fractional)
Ti  0.5661  0.4339  0.7500
Ti  0.4339  0.5661  0.2500
Nb  0.2001  0.7999  0.7500
Nb  0.7999  0.2001  0.2500
Ni  0.6147  0.8801  0.7500
Ni  0.1199  0.3853  0.7500
Ni  0.8801  0.6147  0.2500
Ni  0.3853  0.1199  0.2500
Ni  0.0000  0.0000  0.0000
Ni  0.0000  0.0000  0.5000

Properties
The final energy comes out at -7.173 eV per atom. The crystal system is orthorhombic. Its space-group type is Cmcm (63). For the total magnetization, the calculation gives 0.000 μB/atom. The value obtained for the calculated formation energy is -0.11 eV per atom. As for the energy above the most stable polymorph in this dataset: 48 meV/atom.

=====

# 6
# CsIr3Se

A geometry-optimized CsIr3Se structure (PBE, the Alexandria database).

Lattice parameters (Å, degrees): 4.8084 4.8084 4.8084 90.00 90.00 90.00
Element x y z (fractional)
Cs  0.5000  0.5000  0.5000
Ir  0.0000  0.5000  0.0000
Ir  0.0000  0.0000  0.5000
Ir  0.5000  0.0000  0.0000
Se  0.0000  0.0000  0.0000

Properties
The final energy comes out at -4.895 eV per atom. The crystal system is cubic. Its space-group type is Pm-3m (221). For the total magnetization, the calculation gives 0.000 μB/atom. As for the energy above the most stable polymorph in this dataset: 0 meV/atom.